This record from the Alexandria database describes V3IrF after structural relaxation. The functional is PBE with a Hubbard U.

Cell: 4.9241 4.9241 4.9241 Å, 90.00 90.00 90.00°
Closest atoms and distances in Å follow each position.
Sites, in units of the cell vectors:
Ir1 0.0000 0.0000 0.0000  6 V 2.46
V1 0.5000 0.0000 0.0000  2 Ir 2.46
V2 0.0000 0.0000 0.5000  2 Ir 2.46
V3 0.0000 0.5000 0.0000  2 Ir 2.46
F1 0.5000 0.5000 0.5000  12 V 3.48

Properties
Its space group is Pm-3m. The value obtained for the offset from the most stable computed form is 0.6480 eV/atom. As for the density of states at the Fermi level: 2.98 states/eV per cell. The value obtained for the total energy is -28.2 eV/cell.